A relaxed LiFeBO3 crystal, computed with PBE with a Hubbard U.

Summary:
D(E_F), states/eV/f.u.: 0.00
Space group: P-6, No. 174
Energy above the lowest structure with this stoichiometry, kJ/mol of formula units: 28

a = 8.3416 Å, b = 8.3416 Å, c = 3.1183 Å
α = 90.00°, β = 90.00°, γ = 120.00°
Fractional coordinates of all 18 atoms:
1 Li 0.0121 0.3668 0.0000
2 Li 0.3546 0.9879 0.0000
3 Li 0.6332 0.6454 0.0000
4 Fe 0.3205 0.3074 0.5000
5 Fe 0.6926 0.0130 0.5000
6 Fe 0.9870 0.6795 0.5000
7 B 0.0000 0.0000 0.0000
8 B 0.3333 0.6667 0.5000
9 B 0.6667 0.3333 0.5000
10 O 0.1922 0.1092 0.0000
11 O 0.2180 0.4753 0.5000
12 O 0.2573 0.7820 0.5000
13 O 0.5247 0.7427 0.5000
14 O 0.5475 0.1438 0.5000
15 O 0.5963 0.4525 0.5000
16 O 0.8562 0.4037 0.5000
17 O 0.8908 0.0830 0.0000
18 O 0.9170 0.8078 0.0000